# 1
This record from the Alexandria database describes a geometry-optimized CsHfTa2 structure. The functional is PBE.

a = 5.027 Å, b = 5.027 Å, c = 5.027 Å
α = 60.00°, β = 60.00°, γ = 60.00°
Element x y z (fractional)
Hf1 0.500 0.500 0.500
Cs1 0.000 0.000 0.000
Ta1 0.750 0.750 0.750
Ta2 0.250 0.250 0.250

Properties
D(E_F): 5.60 states/eV per cell
calculated formation energy: 659 kJ/mol of formula units

# 2
This record from the Alexandria database describes a geometry-optimized Sm2Sn3Rh4 structure. The functional is PBE.

a = 6.046 Å, b = 7.403 Å, c = 8.691 Å
α = 90.00°, β = 110.36°, γ = 90.00°
Element x y z (fractional)
Rh1 0.671 0.524 0.342
Rh2 0.179 0.750 0.858
Rh3 0.829 0.024 0.658
Rh4 0.821 0.250 0.142
Rh5 0.329 0.476 0.658
Rh6 0.321 0.250 0.142
Rh7 0.171 0.976 0.342
Rh8 0.679 0.750 0.858
Sm1 0.603 0.920 0.207
Sm2 0.103 0.580 0.207
Sm3 0.897 0.420 0.793
Sm4 0.397 0.080 0.793
Sn1 0.985 0.250 0.471
Sn2 0.500 0.500 0.000
Sn3 0.515 0.750 0.529
Sn4 0.485 0.250 0.471
Sn5 0.000 0.000 0.000
Sn6 0.015 0.750 0.529

Properties
D(E_F): 11.11 states/eV per cell
calculated formation energy: -648 kJ/mol of formula units

# 3
This record from the Alexandria database describes a geometry-optimized Pm6TlGe2Te3 structure. The functional is PBE.

a = 4.364 Å, b = 8.961 Å, c = 9.917 Å
α = 104.17°, β = 102.71°, γ = 90.00°
Element x y z (fractional)
Pm1 0.992 0.743 0.985
Pm2 0.327 0.432 0.654
Pm3 0.673 0.568 0.346
Pm4 0.008 0.257 0.015
Pm5 0.331 0.897 0.662
Pm6 0.669 0.103 0.338
Ge1 0.167 0.333 0.334
Ge2 0.833 0.667 0.666
Te1 0.835 0.169 0.671
Te2 0.500 0.500 0.000
Te3 0.165 0.831 0.329
Tl1 0.500 0.000 0.000

Properties
D(E_F): 6.24 states/eV per cell
ΔE_f (raw): -1.09 eV/atom

# 4
This record from the Alexandria database describes a geometry-optimized NaSi3C structure. The functional is PBE.

a = 4.218 Å, b = 4.218 Å, c = 4.218 Å
α = 90.00°, β = 90.00°, γ = 90.00°
Element x y z (fractional)
Si1 0.000 0.000 0.500
Si2 0.500 0.000 0.000
Si3 0.000 0.500 0.000
C1 0.000 0.000 0.000
Na1 0.500 0.500 0.500

Properties
D(E_F): 2.21 states/eV per cell
ΔE_f (raw): 0.99 eV/atom

# 5
This record from the Alexandria database describes a geometry-optimized CsAc4Rh3O12 structure. The functional is PBE.

a = 7.679 Å, b = 7.679 Å, c = 7.679 Å
α = 109.47°, β = 109.47°, γ = 109.47°
Element x y z (fractional)
Rh1 0.000 0.500 0.500
Rh2 0.500 0.500 0.000
Rh3 0.500 0.000 0.500
O1 0.151 0.813 0.662
O2 0.813 0.662 0.151
O3 0.849 0.187 0.338
O4 0.849 0.512 0.662
O5 0.512 0.662 0.849
O6 0.187 0.338 0.849
O7 0.488 0.338 0.151
O8 0.338 0.151 0.488
O9 0.151 0.488 0.338
O10 0.338 0.849 0.187
O11 0.662 0.151 0.813
O12 0.662 0.849 0.512
Ac1 0.000 0.500 0.000
Ac2 0.500 0.000 0.000
Ac3 0.500 0.500 0.500
Ac4 0.000 0.000 0.500
Cs1 0.000 0.000 0.000

Properties
D(E_F): 5.59 states/eV per cell
ΔE_f (raw): -1.94 eV/atom

# 6
This record from the Alexandria database describes a geometry-optimized TaFeNi2 structure. The functional is PBE.

a = 3.684 Å, b = 2.677 Å, c = 5.836 Å
α = 62.69°, β = 90.00°, γ = 90.00°
Element x y z (fractional)
Ni1 0.000 0.485 0.515
Ni2 0.000 0.015 0.985
Fe1 0.500 0.750 0.750
Ta1 0.500 0.250 0.250

Properties
D(E_F): 2.96 states/eV per cell
calculated formation energy: -48 kJ/mol of formula units

| no. | magnetization (μB/cell) |
| --- | --- |
| 1 | 0.00 |
| 2 | 0.00 |
| 3 | 0.00 |
| 4 | 0.00 |
| 5 | 8.03 |
| 6 | 2.50 |